8
Lattice="-3.0577 1.7200 2.5173 -3.6033 -6.3355 -0.0480 7.2552 0.0276 5.0905" Properties=species:S:1:pos:R:3 comment="Ac3CdAu4 (GGA-PBE, relaxed)" e_form_ev_per_atom=-0.6879 spacegroup="No. 71" pbc="T T T"
Ac 1.5054 -0.8746 2.4261
Ac -0.9111 -3.7133 5.1337
Ac -1.8016 -3.1677 -0.0240
Cd -1.5288 0.8600 1.2587
Au 3.6668 -0.4254 4.7446
Au -3.0725 -4.1625 2.8153
Au -1.6149 -1.5995 2.8347
Au 2.2091 -2.9883 4.7252

11
Lattice="-6.4884 5.2252 -2.8630 -4.2912 -8.5163 2.6551 2.6410 0.1626 4.7964" Properties=species:S:1:pos:R:3 comment="Tb3Ho7Er (GGA-PBE, relaxed)" e_above_lowest_polymorph_mev_per_atom=0 e_form_ev_per_atom=0.1504 spacegroup="No. 10" pbc="T T T"
Tb -3.8030 -7.2422 5.4719
Tb -2.1456 -4.2581 1.3275
Tb -4.3356 4.1138 -0.8835
Ho -7.0668 -2.1571 3.9653
Ho -7.2140 -1.1143 0.8825
Ho -5.0422 0.9128 -0.3829
Ho -3.0964 -4.0413 4.9713
Ho -1.9237 2.6939 0.9667
Ho -0.9246 -2.0142 3.7059
Ho -1.0718 -0.9713 0.6231
Er -4.0693 -1.5642 2.2942

12
Lattice="4.9411 0.0087 -0.0033 0.0524 4.9224 -0.0057 0.0043 0.0075 6.4423" Properties=species:S:1:pos:R:3 comment="LiTlZn2F8 (GGA-PBE, relaxed)" spacegroup="No. 10" raw_formation_energy_kj_per_mol_fu=-2602 pbc="T T T"
Li 0.0000 0.0000 0.0000
Tl 0.0021 0.0037 3.2212
Zn 2.5001 2.4713 4.9439
Zn 2.4977 2.4673 1.4894
F 1.0278 3.9204 1.5489
F 3.4600 3.4357 -0.0063
F 3.9678 1.0144 1.5503
F 3.9700 1.0182 4.8844
F 1.5378 1.5030 6.4395
F 1.0300 3.9242 4.8830
F 3.3855 3.3701 3.2150
F 1.6123 1.5685 3.2183

5
Lattice="-1.9739 2.8406 -2.4511 -3.3554 -0.0973 2.5894 1.6788 3.1456 2.2935" Properties=species:S:1:pos:R:3 comment="MnBe3Tl (GGA-PBE, relaxed)" e_above_lowest_polymorph_mev_per_atom=0 e_form_ev_per_atom=0.9451 spacegroup="No. 221" pbc="T T T"
Be -1.6777 -0.0486 1.2947
Be 0.8394 1.5728 1.1468
Be -0.9870 1.4203 -1.2255
Tl -1.8253 2.9445 1.2159
Mn 0.0000 0.0000 0.0000

4
Lattice="-0.4432 -5.3535 -0.4064 0.6620 -3.0962 4.3586 -4.2309 -2.5255 2.1778" Properties=species:S:1:pos:R:3 comment="Na2TlIn (GGA-PBE, relaxed)" e_above_lowest_polymorph_mev_per_atom=48 e_form_ev_per_atom=-0.0740 spacegroup="No. 225" pbc="T T T"
Na -1.0030 -2.7438 1.5325
Na -3.0091 -8.2314 4.5974
Tl -2.0061 -5.4876 3.0650
In 0.0000 0.0000 0.0000

5
Lattice="-0.7932 2.1451 -3.5431 -1.8973 -3.3949 -1.6306 -10.5633 2.5982 1.4281" Properties=species:S:1:pos:R:3 comment="Ba2Li2Cd (GGA-PBE, relaxed)" e_above_lowest_polymorph_mev_per_atom=52 e_form_ev_per_atom=-0.0675 spacegroup="No. 139" pbc="T T T"
Li -6.3509 2.0592 -2.3509
Li -6.9029 -0.7108 -1.3947
Ba -3.1545 0.0077 -1.7988
Ba -10.0993 1.3407 -1.9468
Cd 0.0000 0.0000 0.0000

4
Lattice="-2.6700 -3.3284 -2.5163 0.1149 -4.7740 1.3168 -3.9722 -2.0867 2.0990" Properties=species:S:1:pos:R:3 comment="PmInAgPt (GGA-PBE, relaxed)" e_form_ev_per_atom=-0.6042 spacegroup="No. 216" pbc="T T T"
In -4.8954 -7.6418 0.6747
Ag 0.0000 0.0000 0.0000
Pt -3.2636 -5.0945 0.4498
Pm -1.6318 -2.5473 0.2249

8
Lattice="-2.2853 3.1009 -4.2185 1.1358 -4.1996 -3.7024 -10.9311 -5.2500 -1.8054" Properties=species:S:1:pos:R:3 comment="RbBaCr2 (GGA-PBE, relaxed)" e_above_lowest_polymorph_mev_per_atom=0 e_form_ev_per_atom=1.4063 spacegroup="No. 141" pbc="T T T"
Cr -3.4487 -0.6733 -2.4978
Cr -2.8790 -2.7757 -4.3455
Cr -8.3459 -5.3977 -5.2485
Cr -9.4876 -3.8507 -7.3607
Ba 0.0000 0.0000 0.0000
Ba -6.8956 -1.3492 -4.9922
Rb -0.5748 -0.5493 -3.9604
Rb -5.1850 -4.9995 -4.7341

14
Lattice="-3.9554 -0.9390 -0.0521 2.5685 -1.6506 -6.6139 3.0350 -13.0300 4.4304" Properties=species:S:1:pos:R:3 comment="Ce2SmSe4 (GGA-PBE, relaxed)" e_above_lowest_polymorph_mev_per_atom=20 spacegroup="No. 63" raw_formation_energy_kj_per_mol_fu=-1208 pbc="T T T"
Ce 1.4636 -6.1727 0.1413
Ce 1.2800 -14.1497 -0.7779
Ce 0.3682 -1.4699 -1.4577
Ce 0.1846 -9.4468 -2.3769
Sm 0.4446 -10.7659 1.6559
Sm 1.2036 -4.8537 -3.8915
Se -1.2686 -3.2819 -3.1685
Se -0.5113 -6.5331 -2.0630
Se 2.9168 -12.3376 0.9328
Se 2.1595 -9.0865 -0.1726
Se 0.8560 -12.2420 -2.9671
Se 0.7922 -3.3776 0.7314
Se -1.9777 -0.4695 -0.0261
Se -0.4602 -6.9845 2.1891

4
Lattice="2.1233 0.0000 8.1288 -1.0617 1.8388 8.1288 -1.0617 -1.8388 8.1288" Properties=species:S:1:pos:R:3 comment="TlBiF2 (GGA-PBE, relaxed)" e_above_lowest_polymorph_mev_per_atom=0 spacegroup="No. 166" raw_formation_energy_kj_per_mol_fu=-603 pbc="T T T"
Tl 0.0000 0.0000 12.1932
Bi 0.0000 0.0000 0.0000
F 0.0000 0.0000 22.0768
F 0.0000 0.0000 2.3095

10
Lattice="7.8212 0.0000 0.0000 0.0000 7.8212 0.0000 0.0000 0.0000 4.1346" Properties=species:S:1:pos:R:3 comment="La2YIr2 (GGA-PBE, relaxed)" e_above_lowest_polymorph_mev_per_atom=0 e_form_ev_per_atom=-0.6515 spacegroup="No. 127" pbc="T T T"
Y 0.0000 0.0000 0.0000
Y 3.9106 3.9106 0.0000
Ir 2.7643 6.6749 0.0000
Ir 6.6749 5.0569 0.0000
Ir 5.0569 1.1463 0.0000
Ir 1.1463 2.7643 0.0000
La 1.2485 5.1591 2.0673
La 5.1591 6.5727 2.0673
La 6.5727 2.6621 2.0673
La 2.6621 1.2485 2.0673

4
Lattice="4.5727 0.0000 0.0000 2.2863 3.9601 0.0000 2.2863 1.3200 3.7336" Properties=species:S:1:pos:R:3 comment="HoAlNiPt (GGA-PBE, relaxed)" e_form_ev_per_atom=-0.7687 spacegroup="No. 216" pbc="T T T"
Ni 6.8590 3.9601 2.8002
Ho 4.5727 2.6400 1.8668
Pt 2.2863 1.3200 0.9334
Al 0.0000 0.0000 0.0000

Number 1: M_tot 0.000 μB/atom. Number 2: M_tot 0.001 μB/atom. Number 3: M_tot 0.000 μB/atom. Number 4: M_tot 0.406 μB/atom. Number 5: M_tot 0.000 μB/atom. Number 6: M_tot 0.000 μB/atom. Number 7: M_tot 0.000 μB/atom. Number 8: M_tot 2.448 μB/atom. Number 9: M_tot 0.342 μB/atom. Number 10: M_tot 0.000 μB/atom. Number 11: M_tot 0.000 μB/atom. Number 12: M_tot 0.000 μB/atom.